Density functional theory data (PBE) for an optimized crystal structure of GaMoPt.

Computed properties:
Total DFT energy (no corrections) (eV per atom): -6.903
DOS(E_F) (states/eV/atom): 1.05
E_form (eV/atom): -0.270

abc: 2.794 2.794 11.784
angles: 90.00 90.00 90.00
Space group I4mm (No. 107)
Asymmetric unit:
1 Ga 0.000 0.000 0.000
2 Mo 0.000 0.000 0.332
3 Pt 0.000 0.000 0.666